Entry from Alexandria via LeMat-Bulk: a geometry-optimized SrScCu2 structure (PBE).

## Properties
density	4.8	g/cm3
excess energy over the best structure of this formula in the dataset	0.160	eV per atom

Unit cell a=3.417 b=3.417 c=7.616 alpha=90.00 beta=90.00 gamma=90.00
Element x y z (fractional)
Sc1 0.000 0.000 0.409
Sr1 0.500 0.500 0.800
Cu1 0.000 0.000 0.072
Cu2 0.500 0.500 0.218